DFT (GGA-PBE) results for SrNbHRu2 after structural relaxation.

The space group is P4/mmm (No. 123) and the conventional cell measures 4.8749, 4.8749 and 5.2971 Å, with angles of 90.00, 90.00 and 90.00 degrees. The inequivalent atoms are Sr at (0.0000, 0.0000, 0.0000), Nb at (0.0000, 0.0000, 0.5000), H at (0.5000, 0.5000, 0.5000) and Ru at (0.0000, 0.5000, 0.0000).

Its total energy is -17.54 eV for the cell shown.